[1]
A plane-wave DFT calculation with PBE was carried out for an optimized crystal structure of Li4CeSn.

Calculated values
For the total magnetization, the calculation gives 7.377 Bohr magnetons per cell. Its density of states at the Fermi level is 45.68 states/eV/cell. The calculation puts the energy at -72.7 eV/cell.

Unit cell a=7.9060 b=7.9060 c=7.9060 alpha=90.00 beta=90.00 gamma=90.00
Space group F-43m (No. 216)
Symmetry-distinct sites (fractional):
Li  0.1242  0.1242  0.1242 [16 per cell]
Ce  0.0000  0.0000  0.5000 [4 per cell]
Sn  0.2500  0.2500  0.7500 [4 per cell]

***

[2]
A plane-wave DFT calculation with PBE was carried out for an optimized crystal structure of SrLiV.

Calculated values
For the total magnetization, the calculation gives 3.848 Bohr magnetons per cell. The calculation puts the relative energy among the computed polymorphs at 373.4 meV per atom. Its density of states at the Fermi level is 1.91 states/eV/cell.

Unit cell a=5.4294 b=5.4294 c=3.1439 alpha=90.00 beta=90.00 gamma=120.00
Space group P-6m2 (No. 187)
Symmetry-distinct sites (fractional):
Sr  0.0000  0.0000  0.0000 [1 per cell]
Li  0.6667  0.3333  0.5000 [1 per cell]
V  0.3333  0.6667  0.0000 [1 per cell]

***

[3]
A plane-wave DFT calculation with PBE was carried out for an optimized crystal structure of In2PdPb2.

Calculated values
For the total magnetization, the calculation gives 0.000 Bohr magnetons per cell. The calculation puts the relative energy among the computed polymorphs at 80.4 meV per atom. Its density of states at the Fermi level is 2.17 states/eV/cell.

Unit cell a=7.3135 b=7.3135 c=5.1844 alpha=90.00 beta=90.00 gamma=90.00
Space group P4/mbm (No. 127)
Symmetry-distinct sites (fractional):
In  0.1600  0.3400  0.0000 [4 per cell]
Pd  0.0000  0.0000  0.5000 [2 per cell]
Pb  0.1573  0.6573  0.5000 [4 per cell]

***

[4]
A plane-wave DFT calculation with PBE was carried out for an optimized crystal structure of ReTcP2.

Calculated values
For the total magnetization, the calculation gives 0.000 Bohr magnetons per cell. The calculation puts the relative energy among the computed polymorphs at 60.7 meV per atom. Its density of states at the Fermi level is 6.06 states/eV/cell.

Unit cell a=3.0163 b=3.0163 c=20.9731 alpha=90.00 beta=90.00 gamma=120.00
Space group R3m (No. 160, hexagonal axes)
Symmetry-distinct sites (fractional):
Re  0.0000  0.0000  0.0000 [3 per cell]
Tc  0.0000  0.0000  0.8431 [3 per cell]
P  0.0000  0.0000  0.4224 [3 per cell]
P  0.0000  0.0000  0.5875 [3 per cell]

***

The lowest density of states at the Fermi level belongs to which entry? SrLiV

***

Number 3 is which compound? In2PdPb2

***

Among the records above, which one has the lowest density of states at the Fermi level? SrLiV

***

Which value of density of states at the Fermi level does entry 3 give? 2.17 states/eV/cell